No. 1
VASP calculation (GGA-PBE) on a geometry-optimized Zn3GaAu2 structure. Values from VASP.

Results
- space group = Pmc2_1 (26)
- excess energy over the best structure of this formula in the dataset (eV per atom) = 0.0000
- ΔE_f (eV/atom) = -0.160

Quantum ESPRESSO input file:
```
&SYSTEM
  ibrav = 0, nat = 12, ntyp = 3
/
ATOMIC_SPECIES
Au 196.97 Au.upf
Ga 69.72 Ga.upf
Zn 65.41 Zn.upf
ATOMIC_POSITIONS angstrom
Au 1.8386 -3.9826 3.6504
Au 0.4618 -6.2875 0.5398
Au 0.7009 -7.9312 4.8884
Au -1.3508 -1.9678 0.9232
Ga -0.1987 -1.9905 3.3870
Ga -0.1042 -5.8654 3.3129
Zn -1.6167 -4.5921 0.1670
Zn 1.2158 -3.8407 6.2821
Zn -0.7139 -6.2267 -1.9718
Zn 2.6710 -6.0647 5.2833
Zn 1.3298 -8.1275 2.2662
Zn 0.7078 -3.6896 1.2515
CELL_PARAMETERS angstrom
-3.0305 -0.1010 1.4162
-1.0853 -6.3900 -2.7781
3.4241 -3.6538 7.0667
```

No. 2
VASP calculation (GGA-PBE) on a geometry-optimized Zn2GaAu structure. Values from VASP.

Results
- space group = P2_1/m (11)
- ΔE_f (eV/atom) = -0.103

Quantum ESPRESSO input file:
```
&SYSTEM
  ibrav = 0, nat = 8, ntyp = 3
/
ATOMIC_SPECIES
Au 196.97 Au.upf
Ga 69.72 Ga.upf
Zn 65.41 Zn.upf
ATOMIC_POSITIONS angstrom
Au -2.0148 5.3383 4.3839
Au -0.1060 1.3510 2.7285
Ga -0.2449 5.9318 2.3789
Ga -1.8759 0.7575 4.7336
Zn -1.8064 3.5275 2.4162
Zn -0.3144 3.1618 4.6963
Zn -1.9221 -0.1282 1.2319
Zn -0.1987 6.8175 5.8805
CELL_PARAMETERS angstrom
-3.4186 0.1245 -0.0504
1.0422 -1.5064 4.5482
0.2555 8.0711 2.6146
```

No. 3
VASP calculation (GGA-PBE) on a geometry-optimized ZnGa2Au7 structure. Values from VASP.

Results
- space group = C2/c (15)
- ΔE_f (eV/atom) = -0.105

Quantum ESPRESSO input file:
```
&SYSTEM
  ibrav = 0, nat = 20, ntyp = 3
/
ATOMIC_SPECIES
Au 196.97 Au.upf
Zn 65.41 Zn.upf
Ga 69.72 Ga.upf
ATOMIC_POSITIONS angstrom
Au 2.6580 3.0820 9.8860
Au 4.0028 0.7510 3.2012
Au 1.9771 3.5036 4.2818
Au 1.9196 7.9995 13.8869
Au 3.2644 5.6685 7.2021
Au 0.8533 5.1263 8.7653
Au 1.2492 7.8789 11.0268
Au 3.9453 5.2469 12.8063
Au 1.9349 2.9159 7.0971
Au 4.8153 7.2911 15.6017
Au 5.0691 3.6242 8.3229
Au 3.9875 5.8347 9.9911
Au 1.1071 1.4594 1.4864
Au 4.6733 0.8716 6.0613
Zn 5.0075 3.0820 11.0318
Zn 0.9149 5.6685 6.0563
Ga 4.4593 7.7907 12.9313
Ga 1.6641 5.3351 11.3548
Ga 1.4632 0.9598 4.1568
Ga 4.2583 3.4154 5.7333
CELL_PARAMETERS angstrom
5.7584 0.0000 2.8082
1.2559 6.9618 4.7328
-1.0919 1.7888 9.5471
```

No. 4
VASP calculation (GGA-PBE) on a geometry-optimized Zn5GaAu structure. Values from VASP.

Results
- space group = C2/c (15)
- ΔE_f (eV/atom) = 0.045

Quantum ESPRESSO input file:
```
&SYSTEM
  ibrav = 0, nat = 14, ntyp = 3
/
ATOMIC_SPECIES
Zn 65.41 Zn.upf
Ga 69.72 Ga.upf
Au 196.97 Au.upf
ATOMIC_POSITIONS angstrom
Zn -6.1470 -4.6450 -0.1653
Zn -6.7959 -13.3593 -4.0040
Zn -3.1668 -7.5843 -3.1843
Zn -5.8453 -7.2618 -1.0064
Zn -2.8651 -10.2011 -4.0254
Zn -6.8551 -10.6757 -0.7866
Zn -2.2162 -1.4868 -0.1867
Zn -1.8687 -6.0053 -1.4123
Zn -7.1435 -8.8408 -2.7784
Zn -2.1570 -4.1704 -3.4041
Ga 0.0000 0.0000 0.0000
Ga -1.2297 -3.9608 0.1904
Au -4.7064 -9.5501 -2.3723
Au -4.3058 -5.2960 -1.8184
CELL_PARAMETERS angstrom
-6.6134 -2.2822 0.7102
0.0606 -4.6422 -5.2817
-2.4593 -7.9217 0.3808
```

Number 1: calculated total energy -2.39 eV/atom, volume 204.4 Å³/cell, mass density 10.722 g/cm3. Number 2: calculated total energy -2.32 eV/atom, volume 138.3 Å³/cell, mass density 9.544 g/cm3. Number 3: calculated total energy -3.13 eV/atom, volume 361.6 Å³/cell, mass density 14.543 g/cm3. Number 4: calculated total energy -1.77 eV/atom, volume 250.4 Å³/cell, mass density 7.876 g/cm3.